Run i
Below is an optimized crystal structure of KLi2Mo, with properties calculated at the PBEsol level.

Unit cell a=6.574 b=6.574 c=6.574 alpha=104.64 beta=104.64 gamma=119.63
Each line ends with the local moment (μB).
Atoms (fractional coordinates):
Mo: 0.000 0.000 0.000  3.49
Mo: 0.250 0.750 0.500  3.49
K: 0.500 0.500 0.000  0.01
K: 0.750 0.250 0.500  0.01
Li: 0.906 0.875 0.531  0.00
Li: 0.344 0.375 0.469  0.00
Li: 0.125 0.656 0.031  0.00
Li: 0.625 0.094 0.969  0.00

Computed properties:
Magnetic moment = 4.11 μB/f.u.
Volume = 26.7 Å³/atom

***

Run ii
Below is an optimized crystal structure of KLi2Mo, with properties calculated at the PBEsol level.

Unit cell a=2.616 b=4.467 c=7.400 alpha=90.00 beta=92.90 gamma=90.00
Atoms (fractional coordinates):
K: 0.500 0.500 0.500
Li: 0.977 0.000 0.832
Li: 0.023 0.000 0.168
Mo: 0.500 0.500 0.000

Computed properties:
Magnetic moment = 0.01 μB/f.u.
Volume = 21.6 Å³/atom

***

It comes down to run ii, which is 47.5 kJ/mol of atoms more stable than the next structure.

***

Run i
Below is an optimized crystal structure of KLi2Ni, with properties calculated at the PBEsol level.

Unit cell a=3.239 b=3.239 c=8.073 alpha=90.00 beta=90.00 gamma=90.00
Atoms (fractional coordinates):
K: 0.500 0.500 0.500
Li: 0.000 0.000 0.850
Li: 0.000 0.000 0.150
Ni: 0.500 0.500 0.000

Computed properties:
Magnetic moment = 0.00 μB/f.u.
Volume = 21.2 Å³/atom

***

Run ii
Below is an optimized crystal structure of KLi2Ni, with properties calculated at the PBEsol level.

Unit cell a=4.422 b=4.422 c=5.298 alpha=114.67 beta=114.67 gamma=90.00
Atoms (fractional coordinates):
K: 0.250 0.750 0.500
Li: 0.000 0.000 0.000
Li: 0.750 0.250 0.500
Ni: 0.500 0.500 0.000

Computed properties:
Magnetic moment = 0.00 μB/f.u.
Volume = 20.9 Å³/atom

***

It comes down to run i, which is 19.5 kJ/mol of atoms more stable than the next structure.

***

Run i
Below is an optimized crystal structure of KLiOs2, with properties calculated at the PBEsol level.

Unit cell a=3.621 b=3.621 c=5.815 alpha=108.14 beta=108.14 gamma=90.00
Atoms (fractional coordinates):
K: 0.500 0.500 0.000
Li: 0.000 0.000 0.000
Os: 0.750 0.250 0.500
Os: 0.250 0.750 0.500

Computed properties:
Magnetic moment = 0.00 μB/f.u.
Volume = 17.1 Å³/atom

***

Run ii
Below is an optimized crystal structure of KLiOs2, with properties calculated at the PBEsol level.

Unit cell a=2.731 b=2.731 c=10.587 alpha=90.00 beta=90.00 gamma=116.53
Atoms (fractional coordinates):
K: 0.000 0.000 0.522
Li: 0.500 0.500 0.200
Os: 0.000 0.000 0.989
Os: 0.500 0.500 0.788

Computed properties:
Magnetic moment = 0.00 μB/f.u.
Volume = 17.7 Å³/atom

***

It comes down to run ii, which is 20.0 kJ/mol of atoms more stable than the next structure.

***

Run i
Below is an optimized crystal structure of K2LiOs, with properties calculated at the PBEsol level.

Unit cell a=2.722 b=6.003 c=6.253 alpha=61.31 beta=86.76 gamma=83.24
Atoms (fractional coordinates):
K: 0.000 0.500 0.500
K: 0.000 0.000 0.500
Li: 0.500 0.000 0.000
Os: 0.500 0.500 0.000

Computed properties:
Magnetic moment = 0.00 μB/f.u.
Volume = 22.3 Å³/atom

***

Run ii
Below is an optimized crystal structure of K2LiOs, with properties calculated at the PBEsol level.

Unit cell a=4.382 b=4.382 c=5.200 alpha=90.00 beta=90.00 gamma=90.00
Each line ends with the local moment (μB).
Atoms (fractional coordinates):
K: 0.000 0.500 0.000  -0.02
K: 0.500 0.000 0.000  -0.02
Li: 0.500 0.500 0.500  -0.02
Os: 0.000 0.000 0.500  1.43

Computed properties:
Magnetic moment = 1.26 μB/f.u.
Volume = 25.0 Å³/atom

***

Run iii
Below is an optimized crystal structure of K2LiOs, with properties calculated at the PBEsol level.

Unit cell a=2.827 b=2.827 c=12.038 alpha=90.00 beta=90.00 gamma=90.00
Atoms (fractional coordinates):
K: 0.000 0.000 0.716
K: 0.000 0.000 0.284
Li: 0.500 0.500 0.000
Os: 0.500 0.500 0.500

Computed properties:
Magnetic moment = 0.00 μB/f.u.
Volume = 24.1 Å³/atom

***

Run iv
Below is an optimized crystal structure of K2LiOs, with properties calculated at the PBEsol level.

Unit cell a=4.167 b=4.167 c=11.332 alpha=100.59 beta=100.59 gamma=90.00
Each line ends with the local moment (μB).
Atoms (fractional coordinates):
K: 0.378 0.875 0.250  -0.02
K: 0.872 0.375 0.250  -0.02
K: 0.125 0.128 0.750  -0.02
K: 0.625 0.622 0.750  -0.02
Os: 0.250 0.750 0.500  0.94
Os: 0.000 0.000 0.000  0.94
Li: 0.750 0.250 0.500  -0.01
Li: 0.500 0.500 0.000  -0.01

Computed properties:
Magnetic moment = 0.84 μB/f.u.
Volume = 23.7 Å³/atom

***

It comes down to run iii, which is 6.1 kJ/mol of atoms more stable than the next structure.

***

Run i
Below is an optimized crystal structure of K2LiPt, with properties calculated at the PBEsol level.

Unit cell a=3.317 b=3.317 c=10.930 alpha=90.00 beta=90.00 gamma=90.00
Atoms (fractional coordinates):
K: 0.000 0.000 0.691
K: 0.000 0.000 0.309
Li: 0.500 0.500 0.000
Pt: 0.500 0.500 0.500

Computed properties:
Magnetic moment = 0.00 μB/f.u.
Volume = 30.1 Å³/atom

***

Run ii
Below is an optimized crystal structure of K2LiPt, with properties calculated at the PBEsol level.

Unit cell a=5.229 b=5.229 c=5.229 alpha=60.00 beta=60.00 gamma=60.00
Atoms (fractional coordinates):
K: 0.000 0.000 0.000
K: 0.750 0.750 0.750
Li: 0.500 0.500 0.500
Pt: 0.250 0.250 0.250

Computed properties:
Magnetic moment = 0.00 μB/f.u.
Volume = 25.3 Å³/atom

***

It comes down to run ii, which is 9.8 kJ/mol of atoms more stable than the next structure.

***

Run i
Below is an optimized crystal structure of KLi2Re, with properties calculated at the PBEsol level.

Unit cell a=2.670 b=2.670 c=11.010 alpha=90.00 beta=90.00 gamma=97.38
Atoms (fractional coordinates):
K: 0.500 0.500 0.000
Li: 0.000 0.000 0.310
Li: 0.000 0.000 0.690
Re: 0.500 0.500 0.500

Computed properties:
Magnetic moment = 0.00 μB/f.u.
Volume = 19.5 Å³/atom

***

Run ii
Below is an optimized crystal structure of KLi2Re, with properties calculated at the PBEsol level.

Unit cell a=6.188 b=6.188 c=6.188 alpha=105.08 beta=105.08 gamma=118.66
Each line ends with the local moment (μB).
Atoms (fractional coordinates):
Re: 0.000 0.000 0.000  2.37
Re: 0.250 0.750 0.500  2.37
K: 0.500 0.500 0.000  0.01
K: 0.750 0.250 0.500  0.01
Li: 0.625 0.658 0.533  0.00
Li: 0.125 0.092 0.467  0.00
Li: 0.908 0.375 0.033  0.00
Li: 0.342 0.875 0.967  0.00

Computed properties:
Magnetic moment = 2.77 μB/f.u.
Volume = 22.4 Å³/atom

***

Run iii
Below is an optimized crystal structure of KLi2Re, with properties calculated at the PBEsol level.

Unit cell a=2.570 b=4.910 c=6.768 alpha=92.55 beta=90.00 gamma=105.17
Each line ends with the local moment (μB).
Atoms (fractional coordinates):
K: 0.500 0.000 0.000  0.00
Li: 0.739 0.478 0.661  0.00
Li: 0.261 0.522 0.339  0.00
Re: 0.000 0.000 0.500  0.14

Computed properties:
Magnetic moment = 0.17 μB/f.u.
Volume = 20.6 Å³/atom

***

It comes down to run i, which is 12.5 kJ/mol of atoms more stable than the next structure.

***

Run i
Below is an optimized crystal structure of K2LiRe, with properties calculated at the PBEsol level.

Unit cell a=2.701 b=6.228 c=6.462 alpha=118.81 beta=90.00 gamma=90.00
Each line ends with the local moment (μB).
Atoms (fractional coordinates):
K: 0.000 0.500 0.500  0.00
K: 0.000 0.000 0.500  0.00
Li: 0.500 0.000 0.000  -0.01
Re: 0.500 0.500 0.000  0.75

Computed properties:
Magnetic moment = 0.87 μB/f.u.
Volume = 23.8 Å³/atom

***

Run ii
Below is an optimized crystal structure of K2LiRe, with properties calculated at the PBEsol level.

Unit cell a=2.801 b=2.801 c=12.366 alpha=90.00 beta=90.00 gamma=101.28
Atoms (fractional coordinates):
K: 0.000 0.000 0.223
K: 0.000 0.000 0.777
Li: 0.500 0.500 0.500
Re: 0.500 0.500 0.000

Computed properties:
Magnetic moment = 0.00 μB/f.u.
Volume = 23.8 Å³/atom

***

It comes down to run ii, which is 18.9 kJ/mol of atoms more stable than the next structure.